A plane-wave DFT calculation with PBE was carried out for a relaxed Pm5Sm2Sc crystal.

```
8
Lattice="3.581 0.177 -0.336 -0.854 9.133 -4.296 0.884 -1.466 8.649" Properties=species:S:1:pos:R:3 pbc="T T T"
Pm -0.427 4.567 -2.148
Pm 1.694 3.059 0.380
Pm 1.918 4.785 3.637
Pm 1.254 7.766 -1.834
Pm 2.358 0.078 5.852
Sm -0.198 6.114 1.096
Sm 3.809 1.730 2.921
Sc 0.000 0.000 0.000
```

Output
The value obtained for the total energy is -39.27 eV/cell.